## Pr2Er4Th (PBE-GGA)

Data for a relaxed structure of Pr2Er4Th.

Energy of formation from the pure elements in eV/atom: 0.031
M_tot in μB/atom: 0.000
Distance to the lowest polymorph of the same formula in eV/atom: 0.0000

Cell: 6.252 3.610 20.330 Å, 90.00 95.89 90.00°
Space group Cm (No. 8)
One atom of each set of equivalent atoms:
Pr1 0.000 0.000 0.000 [2 per cell]
Pr2 0.095 0.000 0.289 [2 per cell]
Er1 0.190 0.000 0.572 [2 per cell]
Er2 0.213 0.500 0.143 [2 per cell]
Er3 0.286 0.000 0.855 [2 per cell]
Er4 0.310 0.500 0.435 [2 per cell]
Th1 0.405 0.500 0.713 [2 per cell]

## PrEr2Th (PBE-GGA)

Data for a relaxed structure of PrEr2Th.

Energy of formation from the pure elements in eV/atom: 0.126
M_tot in μB/atom: 0.004
Distance to the lowest polymorph of the same formula in eV/atom: 0.1258

Cell: 8.046 8.046 8.046 Å, 90.00 90.00 90.00°
Space group Fm-3m (No. 225)
One atom of each set of equivalent atoms:
Pr1 0.000 0.000 0.000 [4 per cell]
Er1 0.250 0.250 0.250 [8 per cell]
Th1 0.000 0.000 0.500 [4 per cell]

## Pr2ErTh (PBE-GGA)

Data for a relaxed structure of Pr2ErTh.

Energy of formation from the pure elements in eV/atom: 0.057
M_tot in μB/atom: 0.000
Distance to the lowest polymorph of the same formula in eV/atom: 0.0062

Cell: 5.120 5.120 5.133 Å, 90.00 90.00 90.00°
Space group P4/mmm (No. 123)
One atom of each set of equivalent atoms:
Pr1 0.000 0.500 0.000 [2 per cell]
Er1 0.000 0.000 0.500 [1 per cell]
Th1 0.500 0.500 0.500 [1 per cell]

## PrEr3Th2 (PBE-GGA)

Data for a relaxed structure of PrEr3Th2.

Energy of formation from the pure elements in eV/atom: 0.029
M_tot in μB/atom: 0.000
Distance to the lowest polymorph of the same formula in eV/atom: 0.0000

Cell: 3.602 18.550 11.564 Å, 90.00 90.00 90.00°
Space group Cmcm (No. 63)
One atom of each set of equivalent atoms:
Pr1 0.000 0.220 0.250 [4 per cell]
Er1 0.000 0.106 0.750 [4 per cell]
Er2 0.000 0.336 0.006 [8 per cell]
Th1 0.000 0.000 0.000 [4 per cell]
Th2 0.000 0.445 0.750 [4 per cell]

## Pr6Er2Th (PBE-GGA)

Data for a relaxed structure of Pr6Er2Th.

Energy of formation from the pure elements in eV/atom: 0.113
M_tot in μB/atom: 0.000
Distance to the lowest polymorph of the same formula in eV/atom: 0.0527

Cell: 9.373 18.205 3.671 Å, 90.00 99.53 90.00°
Space group C2/m (No. 12)
One atom of each set of equivalent atoms:
Pr1 0.170 0.171 0.316 [8 per cell]
Pr2 0.173 0.000 0.826 [4 per cell]
Er1 0.000 0.339 0.000 [4 per cell]
Th1 0.000 0.500 0.500 [2 per cell]

## Pr2Er6Th (PBE-GGA)

Data for a relaxed structure of Pr2Er6Th.

Energy of formation from the pure elements in eV/atom: 0.069
M_tot in μB/atom: 0.000
Distance to the lowest polymorph of the same formula in eV/atom: 0.0000

Cell: 16.910 9.768 3.484 Å, 90.00 90.10 90.00°
Space group C2/m (No. 12)
One atom of each set of equivalent atoms:
Pr1 0.167 0.000 0.000 [4 per cell]
Er1 0.000 0.170 0.500 [4 per cell]
Er2 0.165 0.335 0.501 [8 per cell]
Th1 0.000 0.500 0.000 [2 per cell]

## Pr5Er4Th2 (PBE-GGA)

Data for a relaxed structure of Pr5Er4Th2.

Energy of formation from the pure elements in eV/atom: 0.119
M_tot in μB/atom: 0.000
Distance to the lowest polymorph of the same formula in eV/atom: 0.0000

Cell: 8.921 3.538 11.867 Å, 90.00 94.41 90.00°
Space group P2/m (No. 10)
One atom of each set of equivalent atoms:
Pr1 0.000 0.000 0.000 [1 per cell]
Pr2 0.074 0.000 0.294 [2 per cell]
Pr3 0.311 0.000 0.837 [2 per cell]
Er1 0.202 0.500 0.548 [2 per cell]
Er2 0.338 0.500 0.109 [2 per cell]
Th1 0.457 0.000 0.367 [2 per cell]

## Pr5Er2Th2 (PBE-GGA)

Data for a relaxed structure of Pr5Er2Th2.

Energy of formation from the pure elements in eV/atom: 0.120
M_tot in μB/atom: 0.000

Cell: 6.172 6.876 8.623 Å, 78.56 69.56 64.91°
Space group P-1 (No. 2)
One atom of each set of equivalent atoms:
Pr1 0.000 0.000 0.000 [1 per cell]
Pr2 0.389 0.683 0.658 [2 per cell]
Pr3 0.491 0.869 0.240 [2 per cell]
Er1 0.194 0.429 0.123 [2 per cell]
Th1 0.041 0.235 0.548 [2 per cell]

## Pr2ErTh (PBE-GGA)

Data for a relaxed structure of Pr2ErTh.

Energy of formation from the pure elements in eV/atom: 0.056
M_tot in μB/atom: 0.000
Distance to the lowest polymorph of the same formula in eV/atom: 0.0056

Cell: 3.6266 3.6266 35.6130 Å, 90.00 90.00 120.00°
Space group R3m (No. 160, hexagonal axes)
One atom of each set of equivalent atoms:
Pr1 0.0000 0.0000 0.0000 [3 per cell]
Pr2 0.0000 0.0000 0.1679 [3 per cell]
Er1 0.0000 0.0000 0.5845 [3 per cell]
Th1 0.0000 0.0000 0.4181 [3 per cell]

## PrEr2Th (PBE-GGA)

Data for a relaxed structure of PrEr2Th.

Energy of formation from the pure elements in eV/atom: 0.000
M_tot in μB/atom: 0.000
Distance to the lowest polymorph of the same formula in eV/atom: 0.0000

Cell: 6.227 3.610 11.465 Å, 90.00 90.04 90.00°
Space group C2/m (No. 12)
One atom of each set of equivalent atoms:
Pr1 0.000 0.000 0.000 [2 per cell]
Er1 0.166 0.500 0.742 [4 per cell]
Th1 0.000 0.000 0.500 [2 per cell]

## Pr2ErTh4 (PBE-GGA)

Data for a relaxed structure of Pr2ErTh4.

Energy of formation from the pure elements in eV/atom: 0.071
M_tot in μB/atom: 0.000

Cell: 3.585 36.515 3.592 Å, 90.00 90.00 90.00°
Space group Cmmm (No. 65)
One atom of each set of equivalent atoms:
Pr1 0.000 0.205 0.000 [4 per cell]
Er1 0.000 0.500 0.500 [2 per cell]
Th1 0.000 0.069 0.000 [4 per cell]
Th2 0.000 0.364 0.500 [4 per cell]

## Pr2Er5Th (PBE-GGA)

Data for a relaxed structure of Pr2Er5Th.

Energy of formation from the pure elements in eV/atom: 0.089
M_tot in μB/atom: 0.000
Distance to the lowest polymorph of the same formula in eV/atom: 0.0570

Cell: 16.289 5.715 6.054 Å, 90.00 111.42 90.00°
Space group Cm (No. 8)
One atom of each set of equivalent atoms:
Pr1 0.000 0.000 0.000 [2 per cell]
Pr2 0.142 0.500 0.178 [2 per cell]
Er1 0.135 0.000 0.567 [2 per cell]
Er2 0.256 0.500 0.809 [2 per cell]
Er3 0.367 0.000 0.769 [2 per cell]
Er4 0.374 0.500 0.410 [2 per cell]
Er5 0.494 0.000 0.433 [2 per cell]
Th1 0.262 0.000 0.161 [2 per cell]

What did the ninth record say?
## Pr2ErTh (PBE-GGA)

Data for a relaxed structure of Pr2ErTh.

Energy of formation from the pure elements in eV/atom: 0.056
M_tot in μB/atom: 0.000
Distance to the lowest polymorph of the same formula in eV/atom: 0.0056

Cell: 3.6266 3.6266 35.6130 Å, 90.00 90.00 120.00°
Space group R3m (No. 160, hexagonal axes)
One atom of each set of equivalent atoms:
Pr1 0.0000 0.0000 0.0000 [3 per cell]
Pr2 0.0000 0.0000 0.1679 [3 per cell]
Er1 0.0000 0.0000 0.5845 [3 per cell]
Th1 0.0000 0.0000 0.4181 [3 per cell]